# 1
The following is a PBE-GGA calculation of a relaxed structure of Ag2RuPt, from the Alexandria database.

a b c (Å): 5.887 5.887 5.887
angles (deg): 101.92 101.92 125.94
Fractional positions:
Ag1 0.126 0.125 0.500
Ag2 0.375 0.874 0.000
Ag3 0.624 0.625 0.500
Ag4 0.875 0.376 0.000
Ru1 0.000 0.000 0.000
Ru2 0.750 0.250 0.500
Pt1 0.250 0.750 0.500
Pt2 0.500 0.500 0.000

## Properties
Space group: I-42d, No. 122
Energy of formation, meV/atom: 838
E above lowest polymorph, eV/atom: 0.662
Total magnetic moment, μB per cell: 4.94
D(E_F), states/eV per cell: 8.1
V, A^3/atom: 18.39

# 2
The following is a PBE-GGA calculation of a relaxed structure of AgRuPt, from the Alexandria database.

a b c (Å): 4.931 4.931 4.931
angles (deg): 147.41 132.06 59.17
Fractional positions:
Ag1 0.000 0.000 0.000
Ru1 0.325 0.325 0.000
Pt1 0.676 0.676 0.000

## Properties
Space group: Imm2, No. 44
Energy of formation, meV/atom: 331
E above lowest polymorph, eV/atom: 0.318
Total magnetic moment, μB per cell: 1.58
D(E_F), states/eV per cell: 3.3
V, A^3/atom: 15.85

# 3
The following is a PBE-GGA calculation of a relaxed structure of AgRu2Pt, from the Alexandria database.

a b c (Å): 9.366 9.366 9.366
angles (deg): 17.00 17.00 17.00
Fractional positions:
Ag1 0.000 0.000 0.000
Ru1 0.494 0.494 0.494
Ru2 0.756 0.756 0.756
Pt1 0.245 0.245 0.245

## Properties
Space group: R3m, No. 160
Energy of formation, meV/atom: 120
E above lowest polymorph, eV/atom: 0.000
Total magnetic moment, μB per cell: 0.00
D(E_F), states/eV per cell: 3.9
V, A^3/atom: 15.32

# 4
The following is a PBE-GGA calculation of a relaxed structure of AgRuPt4, from the Alexandria database.

a b c (Å): 5.253 5.253 5.253
angles (deg): 60.00 60.00 60.00
Fractional positions:
Ag1 0.000 0.000 0.000
Ru1 0.250 0.250 0.250
Pt1 0.125 0.625 0.625
Pt2 0.625 0.125 0.625
Pt3 0.625 0.625 0.125
Pt4 0.625 0.625 0.625

## Properties
Space group: F-43m, No. 216
Energy of formation, meV/atom: 294
Total magnetic moment, μB per cell: 2.96
D(E_F), states/eV per cell: 3.7
V, A^3/atom: 17.08

# 5
The following is a PBE-GGA calculation of a relaxed structure of Ag2RuPt, from the Alexandria database.

a b c (Å): 9.651 9.651 9.651
angles (deg): 16.64 16.64 16.64
Fractional positions:
Ag1 0.250 0.250 0.250
Ag2 0.750 0.750 0.750
Ru1 0.000 0.000 0.000
Pt1 0.500 0.500 0.500

## Properties
Space group: R-3m, No. 166
Energy of formation, meV/atom: 259
E above lowest polymorph, eV/atom: 0.083
Total magnetic moment, μB per cell: 0.55
D(E_F), states/eV per cell: 3.7
V, A^3/atom: 16.07

# 6
The following is a PBE-GGA calculation of a relaxed structure of AgRuPt, from the Alexandria database.

a b c (Å): 2.784 2.784 7.003
angles (deg): 90.00 90.00 120.00
Fractional positions:
Ag1 0.000 0.000 0.000
Ru1 0.333 0.667 0.658
Pt1 0.667 0.333 0.350

## Properties
Space group: P3m1, No. 156
Energy of formation, meV/atom: 213
E above lowest polymorph, eV/atom: 0.200
Total magnetic moment, μB per cell: 0.00
D(E_F), states/eV per cell: 3.1
V, A^3/atom: 15.67